Computed, not measured: a geometry-optimized ZnNiTe2 structure at the PBE-GGA level of DFT.

Output
Final energy   -25.54 eV per cell
Calculated density   6.9 Mg/m³
Magnetization   0.00 μB/cell
ΔE_f (raw)   142 meV/atom
Polymorph energy (0 for the lowest one)   0.340 eV per atom

a = 6.118 Å, b = 7.707 Å, c = 4.899 Å
α = 90.00°, β = 128.18°, γ = 90.00°
Space group C2/m (No. 12)
Inequivalent atoms, fractional coordinates:
Zn 0.000 0.000 0.000 [2 per cell]
Ni 0.000 0.500 0.000 [2 per cell]
Te 0.250 0.250 0.500 [4 per cell]